Record 1
Ba2LiLa2: relaxed, PBE.

Calculated values
**Crystal system**: tetragonal
**N(E_F)**: 2.181 states/eV per atom

Cell lengths 8.193, 8.193, 6.456 Å; angles 90.00, 90.00, 90.00 degrees
Fractional coordinates of all 10 atoms:
1 Li 0.500 0.500 0.000
2 Li 0.000 0.000 0.000
3 La 0.870 0.630 0.000
4 La 0.370 0.870 0.000
5 La 0.630 0.130 0.000
6 La 0.130 0.370 0.000
7 Ba 0.823 0.323 0.500
8 Ba 0.677 0.823 0.500
9 Ba 0.177 0.677 0.500
10 Ba 0.323 0.177 0.500

***

Record 2
CoNi6Pd2: relaxed, PBE.

Calculated values
**Crystal system**: monoclinic
**N(E_F)**: 1.348 states/eV per atom

Cell lengths 5.604, 4.821, 4.821 Å; angles 59.94, 89.89, 89.89 degrees
Site moments in Bohr magnetons follow the coordinates.
Fractional coordinates of all 9 atoms:
1 Ni 0.670 0.658 0.171  0.75
2 Ni 0.331 0.829 0.829  0.75
3 Ni 0.670 0.171 0.658  0.75
4 Ni 0.330 0.342 0.829  0.75
5 Ni 0.330 0.829 0.342  0.75
6 Ni 0.669 0.171 0.171  0.75
7 Pd 0.095 0.333 0.333  0.18
8 Pd 0.905 0.667 0.667  0.18
9 Co 0.000 0.000 0.000  1.90

***

| no. | energy of formation from the pure elements (eV per atom) | theoretical density (g/cm3) |
| --- | --- | --- |
| 1 | 0.260 | 4.287 |
| 2 | 0.170 | 9.191 |